Computed, not measured: a geometry-optimized CrCoO structure at the PBE with a Hubbard U level of DFT.

Distance to the lowest polymorph of the same formula: 588.7 meV per atom
Magnetic moment: 5.57 μB/f.u.
ρ: 4624 kg/m³
DOS(E_F): 0.716 states/eV per atom

Lattice parameters (Å, degrees): 2.978 3.099 9.878 90.00 90.00 90.00
Element x y z (fractional)
Cr: 0.500 0.000 0.885
Cr: 0.500 0.500 0.385
Co: 0.000 0.000 0.570
Co: 0.000 0.500 0.070
O: 0.000 0.000 0.761
O: 0.000 0.500 0.261